# 1
VASP calculation (PBE) on a relaxed Cs2CdS crystal.

Cell and atoms, written as CIF:
```
data_Cs2CdS
_chemical_formula_sum 'Cs8 Cd4 S4'
_cell_length_a 8.6022
_cell_length_b 8.6022
_cell_length_c 8.6022
_cell_angle_alpha 90.00
_cell_angle_beta 90.00
_cell_angle_gamma 90.00
_space_group_name_H-M_alt 'F m -3 m'
_space_group_IT_number 225
_space_group_name_Hall '-F 4 2 3'
loop_
_atom_site_label
_atom_site_type_symbol
_atom_site_fract_x
_atom_site_fract_y
_atom_site_fract_z
Cs1 Cs 0.2500 0.2500 0.2500
Cd1 Cd 0.0000 0.0000 0.0000
S1 S 0.0000 0.0000 0.5000
```

Values from the calculation:
**Formation energy from raw total energies**: -0.535 eV/atom
**Size of the total moment**: 0.00 μB/f.u.
**E above lowest polymorph**: 0 meV/atom
**E**: -35.56 eV/cell


# 2
VASP calculation (PBE) on a relaxed Cs5Cd2S5 crystal.

Cell and atoms, written as CIF:
```
data_Cs5Cd2S5
_chemical_formula_sum 'Cs10 Cd4 S10'
_cell_length_a 16.5675
_cell_length_b 4.3218
_cell_length_c 12.1196
_cell_angle_alpha 90.00
_cell_angle_beta 100.19
_cell_angle_gamma 90.00
_space_group_name_H-M_alt 'C 1 2/m 1'
_space_group_IT_number 12
_space_group_name_Hall '-C 2y'
loop_
_atom_site_label
_atom_site_type_symbol
_atom_site_fract_x
_atom_site_fract_y
_atom_site_fract_z
Cs1 Cs 0.0000 0.0000 0.0000
Cs2 Cs 0.1501 0.0000 0.5806
Cs3 Cs 0.2178 0.5000 0.1295
Cd1 Cd 0.0283 0.5000 0.2951
S1 S 0.0000 0.5000 0.5000
S2 S 0.1110 0.5000 0.8401
S3 S 0.1170 0.0000 0.2802
```

Values from the calculation:
**Formation energy from raw total energies**: -0.840 eV/atom
**Size of the total moment**: 1.10 μB/f.u.
**E**: -73.63 eV/cell


# 3
VASP calculation (PBE) on a relaxed Cs12Cd3S5 crystal.

Cell and atoms, written as CIF:
```
data_Cs12Cd3S5
_chemical_formula_sum 'Cs96 Cd24 S40'
_cell_length_a 21.6642
_cell_length_b 21.6642
_cell_length_c 21.6642
_cell_angle_alpha 90.00
_cell_angle_beta 90.00
_cell_angle_gamma 90.00
_space_group_name_H-M_alt 'I a -3 d'
_space_group_IT_number 230
_space_group_name_Hall '-I 4bd 2c 3'
loop_
_atom_site_label
_atom_site_type_symbol
_atom_site_fract_x
_atom_site_fract_y
_atom_site_fract_z
Cs1 Cs 0.0365 0.0562 0.6429
Cd1 Cd 0.0000 0.2500 0.1250
S1 S 0.0000 0.0000 0.0000
S2 S 0.0000 0.2500 0.3750
```

Values from the calculation:
**Formation energy from raw total energies**: -0.563 eV/atom
**Size of the total moment**: 1.40 μB/f.u.
**E**: -359.09 eV/cell


# 4
VASP calculation (PBE) on a relaxed Cs5CdS crystal.

Cell and atoms, written as CIF:
```
data_Cs5CdS
_chemical_formula_sum 'Cs20 Cd4 S4'
_cell_length_a 16.0794
_cell_length_b 11.1773
_cell_length_c 13.3043
_cell_angle_alpha 90.00
_cell_angle_beta 113.49
_cell_angle_gamma 90.00
_space_group_name_H-M_alt 'C 1 2/c 1'
_space_group_IT_number 15
_space_group_name_Hall '-C 2yc'
loop_
_atom_site_label
_atom_site_type_symbol
_atom_site_fract_x
_atom_site_fract_y
_atom_site_fract_z
Cs1 Cs 0.0000 0.0757 0.2500
Cs2 Cs 0.0520 0.2891 0.9805
Cs3 Cs 0.2195 0.0722 0.6246
Cd1 Cd 0.0000 0.4417 0.2500
S1 S 0.0000 0.0000 0.0000
```

Values from the calculation:
**Formation energy from raw total energies**: -0.386 eV/atom
**Size of the total moment**: 0.00 μB/f.u.
**E**: -48.04 eV/cell


# 5
VASP calculation (PBE) on a relaxed CsCd3S crystal.

Cell and atoms, written as CIF:
```
data_CsCd3S
_chemical_formula_sum 'Cs1 Cd3 S1'
_cell_length_a 5.6735
_cell_length_b 5.6735
_cell_length_c 5.6735
_cell_angle_alpha 90.00
_cell_angle_beta 90.00
_cell_angle_gamma 90.00
_space_group_name_H-M_alt 'P m -3 m'
_space_group_IT_number 221
_space_group_name_Hall '-P 4 2 3'
loop_
_atom_site_label
_atom_site_type_symbol
_atom_site_fract_x
_atom_site_fract_y
_atom_site_fract_z
Cs1 Cs 0.0000 0.0000 0.0000
Cd1 Cd 0.0000 0.5000 0.5000
S1 S 0.5000 0.5000 0.5000
```

Values from the calculation:
**Formation energy from raw total energies**: 0.140 eV/atom
**Size of the total moment**: 0.00 μB/f.u.
**E above lowest polymorph**: 0 meV/atom
**E**: -7.03 eV/cell


# 6
VASP calculation (PBE) on a relaxed Cs3Cd2S4 crystal.

Cell and atoms, written as CIF:
```
data_Cs3Cd2S4
_chemical_formula_sum 'Cs6 Cd4 S8'
_cell_length_a 18.3350
_cell_length_b 4.4809
_cell_length_c 8.2582
_cell_angle_alpha 90.00
_cell_angle_beta 115.76
_cell_angle_gamma 90.00
_space_group_name_H-M_alt 'C 1 2/m 1'
_space_group_IT_number 12
_space_group_name_Hall '-C 2y'
loop_
_atom_site_label
_atom_site_type_symbol
_atom_site_fract_x
_atom_site_fract_y
_atom_site_fract_z
Cs1 Cs 0.0000 0.0000 0.0000
Cs2 Cs 0.1319 0.0000 0.5378
Cd1 Cd 0.1704 0.5000 0.9513
S1 S 0.0268 0.5000 0.7034
S2 S 0.2108 0.0000 0.1464
```

Values from the calculation:
**Formation energy from raw total energies**: -0.812 eV/atom
**Size of the total moment**: 1.04 μB/f.u.
**E**: -56.41 eV/cell


# 7
VASP calculation (PBE) on a relaxed CsCdS2 crystal.

Cell and atoms, written as CIF:
```
data_CsCdS2
_chemical_formula_sum 'Cs4 Cd4 S8'
_cell_length_a 7.8828
_cell_length_b 7.8828
_cell_length_c 8.3255
_cell_angle_alpha 90.00
_cell_angle_beta 90.00
_cell_angle_gamma 90.00
_space_group_name_H-M_alt 'I -4 2 d'
_space_group_IT_number 122
_space_group_name_Hall 'I -4 2bw'
loop_
_atom_site_label
_atom_site_type_symbol
_atom_site_fract_x
_atom_site_fract_y
_atom_site_fract_z
Cs1 Cs 0.0000 0.0000 0.0000
Cd1 Cd 0.0000 0.0000 0.5000
S1 S 0.1481 0.2500 0.6250
```

Values from the calculation:
**Formation energy from raw total energies**: -0.555 eV/atom
**Size of the total moment**: 0.00 μB/f.u.
**E**: -48.97 eV/cell


# 8
VASP calculation (PBE) on a relaxed Cs2CdSbS4 crystal.

Cell and atoms, written as CIF:
```
data_Cs2CdSbS4
_chemical_formula_sum 'Cs16 Cd8 Sb8 S32'
_cell_length_a 6.5224
_cell_length_b 14.8056
_cell_length_c 24.8280
_cell_angle_alpha 90.00
_cell_angle_beta 90.00
_cell_angle_gamma 90.00
_space_group_name_H-M_alt 'F d d d'
_space_group_IT_number 70
loop_
_space_group_symop_operation_xyz
'x,y,z'
'-x,-y,-z'
'-x+1/4,-y+1/4,z'
'x+1/4,y+1/4,-z'
'x,-y+1/4,-z+1/4'
'-x,y+1/4,z+1/4'
'-x+1/4,y,-z+1/4'
'x+1/4,-y,z+1/4'
'x,y+1/2,z+1/2'
'-x,-y+1/2,-z+1/2'
'-x+1/4,-y+3/4,z+1/2'
'x+1/4,y+3/4,-z+1/2'
'x,-y+3/4,-z+3/4'
'-x,y+3/4,z+3/4'
'-x+1/4,y+1/2,-z+3/4'
'x+1/4,-y+1/2,z+3/4'
'x+1/2,y,z+1/2'
'-x+1/2,-y,-z+1/2'
'-x+3/4,-y+1/4,z+1/2'
'x+3/4,y+1/4,-z+1/2'
'x+1/2,-y+1/4,-z+3/4'
'-x+1/2,y+1/4,z+3/4'
'-x+3/4,y,-z+3/4'
'x+3/4,-y,z+3/4'
'x+1/2,y+1/2,z'
'-x+1/2,-y+1/2,-z'
'-x+3/4,-y+3/4,z'
'x+3/4,y+3/4,-z'
'x+1/2,-y+3/4,-z+1/4'
'-x+1/2,y+3/4,z+1/4'
'-x+3/4,y+1/2,-z+1/4'
'x+3/4,-y+1/2,z+1/4'
loop_
_atom_site_label
_atom_site_type_symbol
_atom_site_fract_x
_atom_site_fract_y
_atom_site_fract_z
Cs1 Cs 0.1250 0.1250 0.3037
Cd1 Cd 0.1250 0.1250 0.1250
Sb1 Sb 0.1250 0.1250 0.6250
S1 S 0.1176 0.2759 0.8228
```

Values from the calculation:
**Formation energy from raw total energies**: -0.670 eV/atom
**Size of the total moment**: 0.95 μB/f.u.
**E**: -228.89 eV/cell


# 9
VASP calculation (PBE) on a relaxed CsScCdS3 crystal.

Cell and atoms, written as CIF:
```
data_CsScCdS3
_chemical_formula_sum 'Cs2 Sc2 Cd2 S6'
_cell_length_a 8.9783
_cell_length_b 4.0063
_cell_length_c 10.2602
_cell_angle_alpha 90.00
_cell_angle_beta 112.56
_cell_angle_gamma 90.00
_space_group_name_H-M_alt 'P 1 21/m 1'
_space_group_IT_number 11
_space_group_name_Hall '-P 2yb'
loop_
_atom_site_label
_atom_site_type_symbol
_atom_site_fract_x
_atom_site_fract_y
_atom_site_fract_z
Cs1 Cs 0.2317 0.2500 0.2468
Sc1 Sc 0.3362 0.7500 0.8776
Cd1 Cd 0.0867 0.2500 0.6192
S1 S 0.1376 0.2500 0.8749
S2 S 0.2254 0.7500 0.5600
S3 S 0.4818 0.7500 0.1381
```

Values from the calculation:
**Formation energy from raw total energies**: -1.314 eV/atom
**Size of the total moment**: 0.00 μB/f.u.
**E**: -56.74 eV/cell


# 10
VASP calculation (PBE) on a relaxed CsScCd2S crystal.

Cell and atoms, written as CIF:
```
data_CsScCd2S
_chemical_formula_sum 'Cs1 Sc1 Cd2 S1'
_cell_length_a 5.9616
_cell_length_b 5.9616
_cell_length_c 4.9584
_cell_angle_alpha 90.00
_cell_angle_beta 90.00
_cell_angle_gamma 90.00
_space_group_name_H-M_alt 'P 4/m m m'
_space_group_IT_number 123
_space_group_name_Hall '-P 4 2'
loop_
_atom_site_label
_atom_site_type_symbol
_atom_site_fract_x
_atom_site_fract_y
_atom_site_fract_z
Cs1 Cs 0.0000 0.0000 0.0000
Sc1 Sc 0.5000 0.5000 0.5000
Cd1 Cd 0.0000 0.5000 0.5000
S1 S 0.5000 0.5000 0.0000
```

Values from the calculation:
**Formation energy from raw total energies**: -0.391 eV/atom
**Size of the total moment**: 0.00 μB/f.u.
**E**: -15.10 eV/cell


# 11
VASP calculation (PBE) on a relaxed Cs2Cd2Se2S crystal.

Cell and atoms, written as CIF:
```
data_Cs2Cd2Se2S
_chemical_formula_sum 'Cs4 Cd4 Se4 S2'
_cell_length_a 14.6383
_cell_length_b 4.4830
_cell_length_c 8.8603
_cell_angle_alpha 90.00
_cell_angle_beta 122.62
_cell_angle_gamma 90.00
_space_group_name_H-M_alt 'C 1 2/m 1'
_space_group_IT_number 12
_space_group_name_Hall '-C 2y'
loop_
_atom_site_label
_atom_site_type_symbol
_atom_site_fract_x
_atom_site_fract_y
_atom_site_fract_z
Cs1 Cs 0.0620 0.0000 0.3315
Cd1 Cd 0.1913 0.5000 0.0723
Se1 Se 0.1908 0.5000 0.7562
S1 S 0.0000 0.5000 0.0000
```

Values from the calculation:
**Formation energy from raw total energies**: -0.910 eV/atom
**Size of the total moment**: 0.00 μB/f.u.
**E**: -42.01 eV/cell


# 12
VASP calculation (PBE) on a relaxed CsSmCdS3 crystal.

Cell and atoms, written as CIF:
```
data_CsSmCdS3
_chemical_formula_sum 'Cs2 Sm2 Cd2 S6'
_cell_length_a 9.3394
_cell_length_b 4.2346
_cell_length_c 10.2910
_cell_angle_alpha 90.00
_cell_angle_beta 109.67
_cell_angle_gamma 90.00
_space_group_name_H-M_alt 'P 1 21/m 1'
_space_group_IT_number 11
_space_group_name_Hall '-P 2yb'
loop_
_atom_site_label
_atom_site_type_symbol
_atom_site_fract_x
_atom_site_fract_y
_atom_site_fract_z
Cs1 Cs 0.2166 0.2500 0.2373
Sm1 Sm 0.3326 0.7500 0.8654
Cd1 Cd 0.0858 0.2500 0.6139
S1 S 0.1268 0.2500 0.8668
S2 S 0.2060 0.7500 0.5481
S3 S 0.4731 0.7500 0.1454
```

Values from the calculation:
**Formation energy from raw total energies**: -1.406 eV/atom
**Size of the total moment**: 0.00 μB/f.u.
**E**: -54.61 eV/cell